Entry from the Alexandria database: an optimized crystal structure of K2Sc2InTe6 (GGA-PBE).

extended XYZ file:
```
11
Lattice="7.280 -0.074 0.073 -3.662 6.292 0.073 -1.276 -2.193 8.596" Properties=species:S:1:pos:R:3 pbc="T T T"
Sc 3.019 0.938 4.371
Sc -0.677 3.088 4.371
In -0.638 -1.096 4.298
Te 0.506 5.162 2.689
Te 1.836 -1.136 6.053
Te 1.720 2.957 6.096
Te 4.237 2.991 2.689
Te 0.622 1.069 2.646
Te -1.895 1.035 6.053
K -1.880 5.255 0.073
K 5.498 0.963 0.073
```

Properties
Crystal system: monoclinic
Symmetry: C2/m (12)
Uncorrected formation energy: -0.92 eV per atom

Entry from the Alexandria database: an optimized crystal structure of K3Sc3InTe8 (GGA-PBE).

extended XYZ file:
```
15
Lattice="-4.483 4.596 -5.439 -3.787 -6.056 4.513 2.366 8.112 4.905" Properties=species:S:1:pos:R:3 pbc="T T T"
Te -5.215 3.180 3.851
Te -4.667 2.771 -0.320
Te -0.690 3.472 0.129
Te -2.849 5.686 -2.491
Te -2.508 0.433 2.433
Te -3.397 6.219 1.546
Te -1.237 3.881 4.300
Te -3.055 0.966 6.470
K 0.000 0.000 0.000
K -1.894 -3.028 2.257
K -4.135 -0.730 -0.463
Sc -1.059 6.354 -0.267
Sc -2.952 3.326 1.990
Sc -0.711 1.028 4.709
In 1.183 4.056 2.452
```

Properties
Crystal system: monoclinic
Symmetry: C2/m (12)
Uncorrected formation energy: -1.02 eV per atom

Entry from the Alexandria database: an optimized crystal structure of KScInTe3 (GGA-PBE).

extended XYZ file:
```
12
Lattice="4.166 0.000 0.000 0.000 9.235 -0.502 0.000 -2.998 10.999" Properties=species:S:1:pos:R:3 pbc="T T T"
Te 3.124 1.509 6.219
Te 3.124 7.523 1.500
Te 3.124 3.363 1.018
Te 1.041 -1.286 8.997
Te 1.041 4.727 4.278
Te 1.041 2.874 9.479
Sc 3.124 0.837 9.127
Sc 1.041 5.400 1.370
K 1.041 1.218 2.909
K 3.124 5.018 7.588
In 3.124 6.809 4.267
In 1.041 -0.572 6.229
```

Properties
Crystal system: monoclinic
Symmetry: P2_1/m (11)
Uncorrected formation energy: -0.90 eV per atom

Sequential N(E_F) output: 0.41, 0.23, 0.29 states/eV/atom